Entry 1:
Density functional theory data (PBE-GGA) for InHgIBr2 after structural relaxation.

abc: 5.2839 5.2839 10.0193
angles: 90.00 90.00 90.00
With the nearest neighbours (Å) after each atom.
Space group P4/mmm (No. 123)
Unique sites:
1 In 0.0000 0.0000 0.0000  4 I 3.74
2 Hg 0.0000 0.0000 0.5000  4 Br 2.64
3 I 0.5000 0.5000 0.0000  4 In 3.74
4 Br 0.0000 0.5000 0.5000  2 Hg 2.64

Output
Final energy in Ry per atom: -0.130
Magnetic moment in μB/cell: 0.00

---

Entry 2:
Density functional theory data (PBE-GGA) for KHgIBr2 after structural relaxation.

abc: 7.9321 6.4014 8.7310
angles: 90.00 95.85 90.00
With the nearest neighbours (Å) after each atom.
Space group P2_1/m (No. 11)
Unique sites:
1 K 0.2472 0.2500 0.1357  4 Br 3.38-3.43, 1 I 3.66
2 Hg 0.1044 0.2500 0.6542  2 Br 2.63-2.71, 1 I 2.72
3 I 0.4364 0.2500 0.7704  1 Hg 2.72
4 Br 0.0599 0.7500 0.6233  1 Hg 2.63
5 Br 0.1088 0.7500 0.1225  1 Hg 2.71

Output
Polymorph energy (0 for the lowest one) in meV/atom: 0
Final energy in Ry per atom: -0.159
Magnetic moment in μB/cell: 0.00

---

Entry 3:
Density functional theory data (PBE-GGA) for KHgI2Br after structural relaxation.

abc: 6.0096 6.0096 5.6477
angles: 90.00 90.00 90.00
With the nearest neighbours (Å) after each atom.
Space group P4/mmm (No. 123)
Unique sites:
1 K 0.0000 0.0000 0.0000  8 I 4.12, 4 Br 4.25
2 Hg 0.5000 0.5000 0.5000  2 Br 2.82, 4 I 3.00
3 I 0.0000 0.5000 0.5000  2 Hg 3.00
4 Br 0.5000 0.5000 0.0000  2 Hg 2.82

Output
Final energy in Ry per atom: -0.144
Magnetic moment in μB/cell: 0.00

---

Entry 4:
Density functional theory data (PBE-GGA) for KHgIBr2 after structural relaxation.

abc: 5.6486 5.6486 5.9674
angles: 90.00 90.00 90.00
With the nearest neighbours (Å) after each atom.
Space group P4/mmm (No. 123)
Unique sites:
1 K 0.0000 0.0000 0.0000  4 I 3.99, 8 Br 4.11
2 Hg 0.5000 0.5000 0.5000  4 Br 2.82, 2 I 2.98
3 I 0.5000 0.5000 0.0000  2 Hg 2.98
4 Br 0.0000 0.5000 0.5000  2 Hg 2.82

Output
Polymorph energy (0 for the lowest one) in meV/atom: 96
Final energy in Ry per atom: -0.152
Magnetic moment in μB/cell: 0.00

---

Entry 5:
Density functional theory data (PBE-GGA) for K2HgI2Br2 after structural relaxation.

abc: 16.5147 4.6084 8.4011
angles: 90.00 120.47 90.00
With the nearest neighbours (Å) after each atom.
Space group C2/m (No. 12)
Unique sites:
1 K 0.1522 0.0000 0.1099  3 Br 3.26-3.37
2 Hg 0.0000 0.0000 0.5000  2 Br 2.70
3 I 0.0269 0.5000 0.2651  2 Hg 3.21
4 Br 0.1860 0.0000 0.7462  1 Hg 2.70

Output
Final energy in Ry per atom: -0.169
Magnetic moment in μB/cell: 0.00

---

Entry 6:
Density functional theory data (PBE-GGA) for LaHgIBr2 after structural relaxation.

abc: 5.8887 5.8887 6.3374
angles: 90.00 90.00 90.00
With the nearest neighbours (Å) after each atom.
Space group P4/mmm (No. 123)
Unique sites:
1 La 0.0000 0.0000 0.0000  4 Br 2.94, 2 I 3.17
2 Hg 0.5000 0.5000 0.5000  4 I 4.16, 8 Br 4.33
3 I 0.0000 0.0000 0.5000  2 La 3.17
4 Br 0.0000 0.5000 0.0000  2 La 2.94

Output
Final energy in Ry per atom: -0.250
Magnetic moment in μB/cell: 0.00

---

Entry 7:
Density functional theory data (PBE-GGA) for LaHgI2Br after structural relaxation.

abc: 6.3284 6.3284 5.8762
angles: 90.00 90.00 90.00
With the nearest neighbours (Å) after each atom.
Space group P4/mmm (No. 123)
Unique sites:
1 La 0.0000 0.0000 0.0000  2 Br 2.94, 4 I 3.16
2 Hg 0.5000 0.5000 0.5000  8 I 4.32, 4 Br 4.47
3 I 0.0000 0.5000 0.0000  2 La 3.16
4 Br 0.0000 0.0000 0.5000  2 La 2.94

Output
Final energy in Ry per atom: -0.238
Magnetic moment in μB/cell: 0.00

---

Entry 8:
Density functional theory data (PBE-GGA) for Mg2HgIBr after structural relaxation.

abc: 5.7537 5.7537 6.7553
angles: 90.00 90.00 90.00
With the nearest neighbours (Å) after each atom.
Space group P4/mmm (No. 123)
Unique sites:
1 Mg 0.0000 0.5000 0.0000  2 I 2.88
2 Hg 0.0000 0.0000 0.5000  4 Br 4.07, 8 Mg 4.44
3 I 0.5000 0.5000 0.0000  4 Mg 2.88
4 Br 0.5000 0.5000 0.5000  2 I 3.38

Output
Final energy in Ry per atom: -0.085
Magnetic moment in μB/cell: 0.00